[1]
This record from the Alexandria database describes HgRh2Se after structural relaxation. The functional is PBE.

The formation energy (no corrections) comes out at 0.253 eV/atom. As for the space group: No. 71. The calculation puts the calculated total energy at -4.369 eV/atom. The calculation puts the volume at 17.567 A^3/atom.

Cell: 5.102 5.102 5.102 Å, 141.44 119.95 73.67°
Fractional coordinates of all 4 atoms:
Rh 0.533 0.533 0.000
Rh 0.967 0.967 0.000
Hg 0.250 0.750 0.500
Se 0.750 0.250 0.500

[2]
This record from the Alexandria database describes B2C after structural relaxation. The functional is PBE.

As for the space group: No. 2. The value obtained for the energy of formation from the pure elements is 0.53 eV per atom. The calculation puts the calculated total energy at -6.998 eV/atom. The calculation puts the distance to the lowest polymorph of the same formula at 343 meV per atom. The calculation puts the volume at 7.558 A^3/atom.

Cell: 3.677 4.810 5.459 Å, 106.78 100.80 89.26°
Fractional coordinates of all 12 atoms:
C 0.778 0.216 0.871
C 0.989 0.679 0.295
C 0.222 0.784 0.129
C 0.011 0.321 0.705
B 0.101 0.681 0.823
B 0.592 0.802 0.325
B 0.677 0.868 0.726
B 0.730 0.248 0.440
B 0.270 0.752 0.560
B 0.408 0.198 0.675
B 0.323 0.132 0.274
B 0.899 0.319 0.177

[3]
This record from the Alexandria database describes Tm2Be2CdPd5 after structural relaxation. The functional is PBE.

As for the space group: No. 127. The value obtained for the energy of formation from the pure elements is -0.75 eV per atom. The calculation puts the calculated total energy at -5.076 eV/atom. The calculation puts the volume at 16.208 A^3/atom.

Cell: 3.489 9.639 9.639 Å, 90.00 90.00 90.00°
Fractional coordinates of all 20 atoms:
Tm 0.000 0.823 0.677
Tm 0.000 0.323 0.823
Tm 0.000 0.677 0.177
Tm 0.000 0.177 0.323
Pd 0.500 0.500 0.000
Pd 0.500 0.281 0.570
Pd 0.500 0.219 0.070
Pd 0.500 0.430 0.281
Pd 0.500 0.781 0.930
Pd 0.500 0.930 0.219
Pd 0.500 0.070 0.781
Pd 0.500 0.000 0.500
Pd 0.500 0.570 0.719
Pd 0.500 0.719 0.430
Cd 0.000 0.000 0.000
Cd 0.000 0.500 0.500
Be 0.000 0.882 0.382
Be 0.000 0.618 0.882
Be 0.000 0.118 0.618
Be 0.000 0.382 0.118

[4]
This record from the Alexandria database describes BaSrAg2 after structural relaxation. The functional is PBE.

As for the space group: No. 160. The value obtained for the energy of formation from the pure elements is -0.14 eV per atom. The calculation puts the calculated total energy at -2.465 eV/atom. The calculation puts the distance to the lowest polymorph of the same formula at 145 meV per atom. The calculation puts the volume at 38.160 A^3/atom.

Cell: 4.659 4.659 8.552 Å, 74.19 74.19 60.00°
Fractional coordinates of all 4 atoms:
Ag 0.080 0.080 0.761
Ag 0.254 0.254 0.238
Ba 0.496 0.496 0.512
Sr 0.670 0.670 0.989

[5]
This record from the Alexandria database describes SnCO3 after structural relaxation. The functional is PBE.

The formation energy (no corrections) comes out at 0.813 eV/atom. As for the space group: No. 221. The calculation puts the calculated total energy at -4.808 eV/atom. The calculation puts the volume at 12.576 A^3/atom.

Cell: 3.977 3.977 3.977 Å, 90.00 90.00 90.00°
Fractional coordinates of all 5 atoms:
O 0.000 0.500 0.000
O 0.500 0.000 0.000
O 0.000 0.000 0.500
Sn 0.000 0.000 0.000
C 0.500 0.500 0.500

[6]
This record from the Alexandria database describes CuHI3 after structural relaxation. The functional is PBE.

As for the space group: No. 221. The calculation puts the calculated total energy at -1.862 eV/atom. The calculation puts the distance to the lowest polymorph of the same formula at 569 meV per atom. The calculation puts the volume at 32.231 A^3/atom.

Cell: 5.442 5.442 5.442 Å, 90.00 90.00 90.00°
Site moments in Bohr magnetons follow the coordinates.
Fractional coordinates of all 5 atoms:
I 0.000 0.000 0.500  0.01
I 0.500 0.000 0.000  0.02
I 0.000 0.500 0.000  0.02
Cu 0.000 0.000 0.000  0.00
H 0.500 0.500 0.500  0.38

[7]
This record from the Alexandria database describes BaNbNF2 after structural relaxation. The functional is PBE.

The formation energy (no corrections) comes out at -0.163 eV/atom. As for the space group: No. 123. The calculation puts the calculated total energy at -4.975 eV/atom. The calculation puts the distance to the lowest polymorph of the same formula at 1704 meV per atom. The calculation puts the volume at 23.691 A^3/atom.

Cell: 4.790 4.790 5.163 Å, 90.00 90.00 90.00°
Site moments in Bohr magnetons follow the coordinates.
Fractional coordinates of all 5 atoms:
N 0.000 0.000 0.500  -0.13
Ba 0.000 0.000 0.000  0.04
Nb 0.500 0.500 0.500  2.74
F 0.000 0.500 0.000  0.01
F 0.500 0.000 0.000  0.01

[8]
This record from the Alexandria database describes YEr5Tl3 after structural relaxation. The functional is PBE.

As for the space group: No. 193. The value obtained for the energy of formation from the pure elements is -0.26 eV per atom. The calculation puts the calculated total energy at -4.298 eV/atom. The calculation puts the volume at 27.862 A^3/atom.

Cell: 6.695 9.301 9.300 Å, 120.00 90.00 90.00°
Site moments in Bohr magnetons follow the coordinates.
Fractional coordinates of all 18 atoms:
Er 0.500 0.667 0.333  0.07
Er 0.250 0.336 0.336  0.06
Er 0.750 0.664 0.664  0.06
Er 0.000 0.667 0.333  0.07
Er 0.250 0.664 0.000  0.06
Er 0.750 0.000 0.336  0.06
Er 0.250 0.000 0.664  0.06
Er 0.500 0.333 0.667  0.07
Er 0.750 0.336 0.000  0.06
Er 0.000 0.333 0.667  0.07
Y 0.000 0.000 0.000  0.07
Y 0.500 0.000 0.000  0.07
Tl 0.750 0.332 0.332  0.00
Tl 0.250 0.668 0.668  0.00
Tl 0.250 0.000 0.332  0.00
Tl 0.750 0.668 0.000  0.00
Tl 0.250 0.332 0.000  0.00
Tl 0.750 0.000 0.668  0.00

[9]
This record from the Alexandria database describes La14ErTm after structural relaxation. The functional is PBE.

As for the space group: No. 65. The value obtained for the energy of formation from the pure elements is 0.01 eV per atom. The calculation puts the calculated total energy at -4.866 eV/atom. The calculation puts the volume at 35.734 A^3/atom.

Cell: 7.375 7.375 10.513 Å, 90.00 90.00 89.95°
Fractional coordinates of all 16 atoms:
La 0.625 0.375 0.247
La 0.375 0.125 0.000
La 0.125 0.875 0.248
La 0.375 0.125 0.500
La 0.875 0.625 0.500
La 0.125 0.375 0.248
La 0.375 0.625 0.500
La 0.625 0.375 0.753
La 0.625 0.875 0.248
La 0.125 0.875 0.752
La 0.625 0.875 0.752
La 0.875 0.625 0.000
La 0.875 0.125 0.500
La 0.125 0.375 0.752
Tm 0.375 0.625 0.000
Er 0.875 0.125 0.000

[10]
This record from the Alexandria database describes AlCuTe2N after structural relaxation. The functional is PBE.

The formation energy (no corrections) comes out at 0.714 eV/atom. As for the space group: No. 123. The calculation puts the calculated total energy at -3.776 eV/atom. The calculation puts the distance to the lowest polymorph of the same formula at 264 meV per atom. The calculation puts the volume at 20.961 A^3/atom.

Cell: 5.434 5.434 3.550 Å, 90.00 90.00 90.00°
Site moments in Bohr magnetons follow the coordinates.
Fractional coordinates of all 5 atoms:
Cu 0.000 0.000 0.000  0.18
N 0.000 0.000 0.500  0.61
Al 0.500 0.500 0.500  0.00
Te 0.500 0.000 0.000  0.03
Te 0.000 0.500 0.000  0.03

[11]
This record from the Alexandria database describes Tb2Ho3Rh2 after structural relaxation. The functional is PBE.

As for the space group: No. 12. The value obtained for the energy of formation from the pure elements is -0.59 eV per atom. The calculation puts the calculated total energy at -5.974 eV/atom. The calculation puts the volume at 25.910 A^3/atom.

Cell: 3.781 6.300 8.905 Å, 115.02 90.00 107.46°
Fractional coordinates of all 7 atoms:
Rh 0.176 0.353 0.241
Rh 0.824 0.647 0.759
Tb 0.834 0.668 0.192
Tb 0.166 0.332 0.808
Ho 0.500 0.000 0.000
Ho 0.616 0.233 0.430
Ho 0.384 0.767 0.570

[12]
This record from the Alexandria database describes K2CuSnBr6 after structural relaxation. The functional is PBE.

The formation energy (no corrections) comes out at -1.011 eV/atom. As for the space group: No. 59. The calculation puts the calculated total energy at -3.044 eV/atom. The calculation puts the volume at 32.220 A^3/atom.

Cell: 7.673 7.662 10.961 Å, 90.00 90.00 90.00°
Fractional coordinates of all 20 atoms:
Br 0.240 0.990 0.500
Br 0.000 0.750 0.742
Br 0.000 0.750 0.258
Br 0.500 0.250 0.242
Br 0.260 0.010 0.000
Br 0.260 0.490 0.000
Br 0.500 0.250 0.758
Br 0.760 0.510 0.500
Br 0.740 0.010 0.000
Br 0.240 0.510 0.500
Br 0.740 0.490 0.000
Br 0.760 0.990 0.500
Cu 0.000 0.750 0.500
Cu 0.500 0.250 0.000
K 0.500 0.751 0.754
K 0.500 0.751 0.246
K 0.000 0.249 0.254
K 0.000 0.249 0.746
Sn 0.000 0.750 0.000
Sn 0.500 0.250 0.500